Entry A
Ca3HfSn | GGA-PBE | optimized geometry

Lattice parameters (Å, degrees): 5.6869 5.6869 5.6869 90.00 90.00 90.00
With the nearest neighbours (Å) after each atom.
Space group Pm-3m (No. 221)
Inequivalent atoms, fractional coordinates:
Ca 0.0000 0.0000 0.5000  2 Hf 2.84
Hf 0.0000 0.0000 0.0000  6 Ca 2.84
Sn 0.5000 0.5000 0.5000  12 Ca 4.02

Results
The magnetic moment comes out at 0.00 μB per cell.


Entry B
Ca3HfSn | GGA-PBE | optimized geometry

Lattice parameters (Å, degrees): 5.8660 5.8660 5.8660 90.00 90.00 90.00
With the nearest neighbours (Å) after each atom.
Space group Pm-3m (No. 221)
Inequivalent atoms, fractional coordinates:
Ca 0.0000 0.0000 0.5000  2 Sn 2.93
Hf 0.5000 0.5000 0.5000  12 Ca 4.15
Sn 0.0000 0.0000 0.0000  6 Ca 2.93

Results
The magnetic moment comes out at 3.78 μB per cell.


The structure with the least stability is entry A.